Compound: HfRhSe2
Source: Alexandria
Functional: PBE-GGA
Structure: relaxed

Cell: 4.619 4.619 4.619 Å, 60.00 60.00 60.00°
Sites, in units of the cell vectors:
1 Hf 0.000 0.000 0.000
2 Rh 0.500 0.500 0.500
3 Se 0.250 0.250 0.250
4 Se 0.750 0.750 0.750

## Properties
Energy relative to the elements, uncorrected, meV/atom: -533
Calculated total energy, eV per atom: -6.602
Total magnetic moment, μB per formula unit: 0.000